Entry 1:
Below is a geometry-optimized TmAgHgAu structure, with properties calculated at the PBE level.

Lattice parameters (Å, degrees): 5.1140 5.1140 5.1140 126.45 126.45 79.16
Positions (direct):
1 Tm 0.0000 0.0000 0.0000
2 Ag 0.5000 0.5000 0.0000
3 Hg 0.7500 0.2500 0.5000
4 Au 0.2500 0.7500 0.5000

Energy above the most stable polymorph in this dataset in eV/atom: 0.000
ΔH_f (0 K) in eV/atom: -0.447

Entry 2:
Below is a geometry-optimized K2AsOs structure, with properties calculated at the PBE level.

Lattice parameters (Å, degrees): 6.4080 6.4080 6.4080 144.12 127.05 65.62
Positions (direct):
1 K 0.0000 0.0000 0.0000
2 K 0.6948 0.1948 0.5000
3 As 0.4136 0.4136 0.0000
4 Os 0.3013 0.8013 0.5000

ΔH_f (0 K) in eV/atom: 0.327

Entry 3:
Below is a geometry-optimized RbNaGe2P structure, with properties calculated at the PBE level.

Lattice parameters (Å, degrees): 5.2829 5.2829 5.1951 90.00 90.00 90.00
Positions (direct):
1 Rb 0.0000 0.0000 0.0000
2 Na 0.5000 0.5000 0.5000
3 Ge 0.0000 0.5000 0.5000
4 Ge 0.5000 0.0000 0.5000
5 P 0.5000 0.5000 0.0000

ΔH_f (0 K) in eV/atom: 0.710

Entry 4:
Below is a geometry-optimized MnSi8 structure, with properties calculated at the PBE level.

Lattice parameters (Å, degrees): 5.8954 5.8954 5.8954 96.19 96.19 141.68
Positions (direct):
1 Mn 0.0000 0.0000 0.0000
2 Si 0.0000 0.3252 0.3252
3 Si 0.0000 0.6748 0.6748
4 Si 0.3252 0.0000 0.3252
5 Si 0.3410 0.3410 0.6819
6 Si 0.3410 0.6590 0.0000
7 Si 0.6590 0.3410 0.0000
8 Si 0.6590 0.6590 0.3181
9 Si 0.6748 0.0000 0.6748

Formation energy from raw total energies in meV/atom: 332

Entry 5:
Below is a geometry-optimized TaGaCu2 structure, with properties calculated at the PBE level.

Lattice parameters (Å, degrees): 2.8341 2.8341 7.1438 90.00 90.00 90.00
Positions (direct):
1 Ta 0.0000 0.0000 0.0000
2 Ga 0.0000 0.0000 0.5000
3 Cu 0.5000 0.5000 0.2679
4 Cu 0.5000 0.5000 0.7321

ΔH_f (0 K) in eV/atom: -0.011

Entry 6:
Below is a geometry-optimized Ce2NpHg structure, with properties calculated at the PBE level.

Lattice parameters (Å, degrees): 5.5222 5.5222 3.2444 90.00 90.00 90.00
Positions (direct):
1 Ce 0.0000 0.5000 0.0000
2 Ce 0.5000 0.0000 0.0000
3 Np 0.0000 0.0000 0.5000
4 Hg 0.5000 0.5000 0.5000

Energy above the most stable polymorph in this dataset in eV/atom: 0.000
ΔH_f (0 K) in eV/atom: 0.024

Entry 7:
Below is a geometry-optimized Pd2Rh2Pb structure, with properties calculated at the PBE level.

Lattice parameters (Å, degrees): 7.0626 7.0626 7.0626 149.56 149.56 43.59
Positions (direct):
1 Pd 0.2500 0.7500 0.5000
2 Pd 0.7500 0.2500 0.5000
3 Rh 0.0991 0.0991 0.0000
4 Rh 0.9009 0.9009 0.0000
5 Pb 0.5000 0.5000 0.0000

Energy above the most stable polymorph in this dataset in eV/atom: 0.106
ΔH_f (0 K) in eV/atom: 0.278

Entry 8:
Below is a geometry-optimized Cs2NaLiTe structure, with properties calculated at the PBE level.

Lattice parameters (Å, degrees): 7.6351 7.6351 5.2212 90.00 90.00 90.00
Positions (direct):
1 Cs 0.0000 0.5000 0.0000
2 Cs 0.5000 0.0000 0.0000
3 Na 0.0000 0.0000 0.5000
4 Li 0.5000 0.5000 0.5000
5 Te 0.5000 0.5000 0.0000

Formation energy from raw total energies in meV/atom: -509

Entry 9:
Below is a geometry-optimized CuP2Ir structure, with properties calculated at the PBE level.

Lattice parameters (Å, degrees): 4.2347 4.2347 4.2347 60.00 60.00 60.00
Positions (direct):
1 Cu 0.0000 0.0000 0.0000
2 P 0.2500 0.2500 0.2500
3 P 0.7500 0.7500 0.7500
4 Ir 0.5000 0.5000 0.5000

Energy above the most stable polymorph in this dataset in eV/atom: 0.263
ΔH_f (0 K) in eV/atom: 0.115

Entry 10:
Below is a geometry-optimized Tc5Rh structure, with properties calculated at the PBE level.

Lattice parameters (Å, degrees): 2.7325 2.7325 11.6699 90.00 90.00 90.00
Positions (direct):
1 Tc 0.0000 0.0000 0.0000
2 Tc 0.0000 0.0000 0.3325
3 Tc 0.0000 0.0000 0.6675
4 Tc 0.5000 0.5000 0.1685
5 Tc 0.5000 0.5000 0.8315
6 Rh 0.5000 0.5000 0.5000

Energy above the most stable polymorph in this dataset in eV/atom: 0.093
ΔH_f (0 K) in eV/atom: 0.018

Entry 11:
Below is a geometry-optimized Li2Ta2H7 structure, with properties calculated at the PBE level.

Lattice parameters (Å, degrees): 4.3037 4.3037 4.6484 90.00 90.00 92.78
Positions (direct):
1 Li 0.2365 0.7635 0.0000
2 Li 0.7635 0.2365 0.0000
3 Ta 0.2324 0.2324 0.5000
4 Ta 0.7676 0.7676 0.5000
5 H 0.0000 0.0000 0.2276
6 H 0.0000 0.0000 0.7724
7 H 0.0000 0.5000 0.2588
8 H 0.0000 0.5000 0.7412
9 H 0.5000 0.0000 0.2588
10 H 0.5000 0.0000 0.7412
11 H 0.5000 0.5000 0.0000

Raw total energy in eV per atom: -4.721

Entry 12:
Below is a geometry-optimized Co2NiAs structure, with properties calculated at the PBE level.

Lattice parameters (Å, degrees): 7.8630 7.8630 7.8630 19.86 19.86 19.86
Positions (direct):
1 Co 0.0000 0.0000 0.0000
2 Co 0.2509 0.2509 0.2509
3 Ni 0.7529 0.7529 0.7529
4 As 0.5027 0.5027 0.5027

ΔH_f (0 K) in eV/atom: 0.193